[1]
This record from Alexandria describes a relaxed ReNiI2O crystal. The functional is PBE+U.

Output
* energy relative to the lowest polymorph listed for this composition: 0.000 eV per atom
* spin magnetization: 0.0 Bohr magnetons per cell
* theoretical density: 7.53 Mg/m³

Lattice parameters (Å, degrees): 5.5098 5.5098 3.7380 90.00 90.00 90.00
Space group P4/mmm (No. 123)
Asymmetric unit:
Re 0.0000 0.0000 0.0000 (multiplicity 1)
Ni 0.5000 0.5000 0.5000 (multiplicity 1)
I 0.0000 0.5000 0.0000 (multiplicity 2)
O 0.0000 0.0000 0.5000 (multiplicity 1)

[2]
This record from Alexandria describes a relaxed ReNiIO2 crystal. The functional is PBE+U.

Output
* energy relative to the lowest polymorph listed for this composition: 0.000 eV per atom
* spin magnetization: 0.0 Bohr magnetons per cell
* theoretical density: 7.91 Mg/m³

Lattice parameters (Å, degrees): 3.7707 3.7707 5.9604 90.00 90.00 90.00
Space group P4/mmm (No. 123)
Asymmetric unit:
Re 0.0000 0.0000 0.0000 (multiplicity 1)
Ni 0.5000 0.5000 0.5000 (multiplicity 1)
I 0.0000 0.0000 0.5000 (multiplicity 1)
O 0.0000 0.5000 0.0000 (multiplicity 2)

[3]
This record from Alexandria describes a relaxed ReNiIO2 crystal. The functional is PBE+U.

Output
* energy relative to the lowest polymorph listed for this composition: 1.377 eV per atom
* spin magnetization: 2.6 Bohr magnetons per cell
* theoretical density: 8.68 Mg/m³

Lattice parameters (Å, degrees): 3.8734 3.8734 5.1482 90.00 90.00 90.00
Space group P4/mmm (No. 123)
Asymmetric unit:
Re 0.0000 0.0000 0.0000 (multiplicity 1)
Ni 0.5000 0.5000 0.5000 (multiplicity 1)
I 0.5000 0.5000 0.0000 (multiplicity 1)
O 0.0000 0.5000 0.5000 (multiplicity 2)

[4]
This record from Alexandria describes a relaxed ReNiI2O crystal. The functional is PBE+U.

Output
* energy relative to the lowest polymorph listed for this composition: 0.485 eV per atom
* spin magnetization: 5.2 Bohr magnetons per cell
* theoretical density: 8.02 Mg/m³

Lattice parameters (Å, degrees): 5.5224 5.5224 3.4945 90.00 90.00 90.00
Space group P4/mmm (No. 123)
Asymmetric unit:
Re 0.0000 0.0000 0.0000 (multiplicity 1)
Ni 0.5000 0.5000 0.5000 (multiplicity 1)
I 0.0000 0.5000 0.5000 (multiplicity 2)
O 0.5000 0.5000 0.0000 (multiplicity 1)

[5]
This record from Alexandria describes a relaxed Ni2RhIO crystal. The functional is PBE+U.

Output
* spin magnetization: 1.1 Bohr magnetons per cell
* total energy: -11.40 eV per cell
* theoretical density: 7.06 Mg/m³

Lattice parameters (Å, degrees): 4.6529 4.6529 3.9432 90.00 90.00 90.00
Space group P4/mmm (No. 123)
Asymmetric unit:
Ni 0.0000 0.5000 0.0000 (multiplicity 2)
Rh 0.0000 0.0000 0.5000 (multiplicity 1)
I 0.5000 0.5000 0.0000 (multiplicity 1)
O 0.5000 0.5000 0.5000 (multiplicity 1)

[6]
This record from Alexandria describes a relaxed NiRhIO6 crystal. The functional is PBE+U.

Output
* spin magnetization: 4.0 Bohr magnetons per cell
* total energy: -92.54 eV per cell
* theoretical density: 6.20 Mg/m³

Lattice parameters (Å, degrees): 5.1617 5.1617 8.9226 90.00 90.00 120.00
Space group P-31c (No. 163)
Asymmetric unit:
Ni 0.0000 0.0000 0.0000 (multiplicity 2)
Rh 0.3333 0.6667 0.2500 (multiplicity 2)
I 0.3333 0.6667 0.7500 (multiplicity 2)
O 0.0104 0.3553 0.6303 (multiplicity 12)

Among the records above, which one has the lowest theoretical density?
NiRhIO6